(1)
Be2Ni4B: optimized geometry, GGA-PBE.

Lattice parameters (Å, degrees): 3.669 3.669 10.984 90.00 90.00 90.00
Space group I4/mmm (No. 139)
Unique sites:
Be (0.000, 0.000, 0.125) x4
Ni (0.000, 0.000, 0.321) x4
Ni (0.000, 0.500, 0.000) x4
B (0.000, 0.000, 0.500) x2

Calculated values
Total magnetic moment (Bohr magnetons per cell): 0.00
Energy of formation from the pure elements (eV/f.u.): 0.38
V (Å³ per cell): 148
VASP energy (eV/atom): -5.27
Calculated density (Mg/m³): 5.921
Polymorph energy (0 for the lowest one) (kcal/mol of atoms): 6.14

(2)
BeNiB: optimized geometry, GGA-PBE.

Lattice parameters (Å, degrees): 2.608 2.608 6.910 90.00 90.00 90.00
Space group I4mm (No. 107)
Unique sites:
Be (0.000, 0.000, 0.000) x2
Ni (0.000, 0.000, 0.688) x2
B (0.000, 0.000, 0.347) x2

Calculated values
Total magnetic moment (Bohr magnetons per cell): 0.00
Energy of formation from the pure elements (eV/f.u.): -0.27
V (Å³ per cell): 47
VASP energy (eV/atom): -5.49
Calculated density (Mg/m³): 5.549
Polymorph energy (0 for the lowest one) (kcal/mol of atoms): 1.34